[1]
A relaxed Fe2Ni5Pd5 crystal, computed with PBE.

Cell lengths 3.6936, 5.9175, 8.0140 Å; angles 72.92, 76.68, 71.81 degrees
Site moments in Bohr magnetons follow the coordinates.
Fractional positions:
Fe: 0.9150 0.4121 0.7578  3.06
Fe: 0.0850 0.5879 0.2422  3.06
Ni: 0.5000 0.5000 0.5000  0.77
Ni: 0.3331 0.3362 0.9976  0.71
Ni: 0.4278 0.8977 0.2467  0.73
Ni: 0.5722 0.1023 0.7533  0.73
Ni: 0.6669 0.6638 0.0024  0.71
Pd: 0.8432 0.8213 0.4924  0.28
Pd: 0.2538 0.7369 0.7556  0.24
Pd: 0.7462 0.2631 0.2444  0.24
Pd: 0.1568 0.1787 0.5076  0.28
Pd: 0.0000 0.0000 0.0000  0.30

- Calculated volume: 157.2 Å³/cell
- Formation enthalpy at 0 K: -0.041 eV/atom
- SG: C2/m (12)
- Raw total energy: -0.443 Ry per atom

[2]
A relaxed NaAlCuS3 crystal, computed with PBE.

Cell lengths 3.5638, 7.4464, 9.4542 Å; angles 109.85, 90.00, 90.00 degrees
Site moments in Bohr magnetons follow the coordinates.
Fractional positions:
Na: 0.2500 0.2217 0.2221  0.00
Na: 0.7500 0.7783 0.7779  0.00
Al: 0.2500 0.1656 0.6409  0.00
Al: 0.7500 0.8344 0.3591  0.00
Cu: 0.2500 0.6595 0.1015  0.18
Cu: 0.7500 0.3405 0.8985  0.18
S: 0.7500 0.8857 0.1313  0.09
S: 0.2500 0.1143 0.8687  0.09
S: 0.2500 0.8095 0.5048  0.00
S: 0.7500 0.1905 0.4952  0.00
S: 0.7500 0.5049 0.1850  0.10
S: 0.2500 0.4951 0.8150  0.10

- Calculated volume: 236.0 Å³/cell
- SG: P2_1/m (11)
- Raw total energy: -0.318 Ry per atom